1.
TbErTmTh2: relaxed, PBE.

Values from the calculation:
For the formation energy from the elements, the calculation gives 0.410 eV/atom.

a = 8.4279 Å, b = 8.4279 Å, c = 6.6278 Å
α = 90.00°, β = 90.00°, γ = 133.70°
Fractional positions:
Tb 0.2495 0.7505 0.7500
Tb 0.7505 0.2495 0.2500
Er 0.1519 0.8481 0.2500
Er 0.8481 0.1519 0.7500
Tm 0.3484 0.6516 0.2500
Tm 0.6516 0.3484 0.7500
Th 0.2502 0.2502 0.0000
Th 0.2502 0.2502 0.5000
Th 0.7498 0.7498 0.0000
Th 0.7498 0.7498 0.5000



2.
TbErTm5Th2: relaxed, PBE.

Values from the calculation:
For the formation energy from the elements, the calculation gives 0.353 eV/atom.

a = 9.7866 Å, b = 9.7866 Å, c = 9.7866 Å
α = 127.07°, β = 127.07°, γ = 78.14°
Fractional positions:
Tb 0.2500 0.2500 0.0000
Tb 0.7500 0.7500 0.0000
Er 0.2500 0.7500 0.5000
Er 0.7500 0.2500 0.5000
Tm 0.0000 0.0000 0.0000
Tm 0.0701 0.5701 0.9198
Tm 0.1502 0.0701 0.5000
Tm 0.3498 0.8498 0.9198
Tm 0.4299 0.3498 0.5000
Tm 0.5000 0.5000 0.0000
Tm 0.5701 0.6502 0.5000
Tm 0.6502 0.1502 0.0802
Tm 0.8498 0.9299 0.5000
Tm 0.9299 0.4299 0.0802
Th 0.1192 0.3808 0.5000
Th 0.3808 0.8808 0.2616
Th 0.6192 0.1192 0.7384
Th 0.8808 0.6192 0.5000



3.
Tb6Er2Tm3Th: relaxed, PBE.

Values from the calculation:
For the formation energy from the elements, the calculation gives 0.027 eV/atom.

a = 6.1239 Å, b = 6.1239 Å, c = 11.7337 Å
α = 94.99°, β = 94.99°, γ = 119.96°
Fractional positions:
Tb 0.0843 0.4149 0.7506
Tb 0.2462 0.2462 0.2495
Tb 0.4149 0.0843 0.7506
Tb 0.5851 0.9157 0.2494
Tb 0.7538 0.7538 0.7505
Tb 0.9157 0.5851 0.2494
Er 0.3333 0.6667 0.5000
Er 0.6667 0.3333 0.5000
Tm 0.1673 0.8327 0.0000
Tm 0.5000 0.5000 0.0000
Tm 0.8327 0.1673 0.0000
Th 0.0000 0.0000 0.5000



4.
TbEr2Tm5Th: relaxed, PBE.

Values from the calculation:
For the formation energy from the elements, the calculation gives 0.169 eV/atom.

a = 10.9915 Å, b = 10.9915 Å, c = 9.6094 Å
α = 90.00°, β = 90.00°, γ = 150.35°
Fractional positions:
Tb 0.1914 0.8086 0.5000
Tb 0.8086 0.1914 0.0000
Er 0.1146 0.8854 0.8103
Er 0.1306 0.8694 0.1923
Er 0.8694 0.1306 0.6923
Er 0.8854 0.1146 0.3103
Tm 0.0142 0.9858 0.5015
Tm 0.2703 0.7297 0.8082
Tm 0.3057 0.6943 0.1994
Tm 0.3976 0.6024 0.5218
Tm 0.4692 0.5308 0.2221
Tm 0.5308 0.4692 0.7221
Tm 0.6024 0.3976 0.0218
Tm 0.6943 0.3057 0.6994
Tm 0.7297 0.2703 0.3082
Tm 0.9858 0.0142 0.0015
Th 0.4056 0.5944 0.9034
Th 0.5944 0.4056 0.4034



5.
Tb3Er6TmTh2: relaxed, PBE.

Values from the calculation:
For the formation energy from the elements, the calculation gives 0.019 eV/atom.

a = 6.1216 Å, b = 6.1216 Å, c = 11.6813 Å
α = 95.02°, β = 95.02°, γ = 119.97°
Fractional positions:
Tb 0.0000 0.0000 0.0000
Tb 0.3336 0.6664 0.0000
Tb 0.6664 0.3336 0.0000
Er 0.0813 0.4174 0.2526
Er 0.2461 0.2461 0.7478
Er 0.4174 0.0813 0.2526
Er 0.5826 0.9187 0.7474
Er 0.7539 0.7539 0.2522
Er 0.9187 0.5826 0.7474
Tm 0.5000 0.5000 0.5000
Th 0.1666 0.8334 0.5000
Th 0.8334 0.1666 0.5000



6.
TbErTmTh: relaxed, PBE.

Values from the calculation:
Its energy above the most stable polymorph in this dataset is 0.125 eV per atom. For the formation energy from the elements, the calculation gives 0.129 eV/atom.

a = 5.6335 Å, b = 5.6335 Å, c = 5.6335 Å
α = 60.00°, β = 60.00°, γ = 60.00°
Fractional positions:
Tb 0.0000 0.0000 0.0000
Er 0.7500 0.7500 0.7500
Tm 0.2500 0.2500 0.2500
Th 0.5000 0.5000 0.5000



7.
TbErTm3Th: relaxed, PBE.

Values from the calculation:
For the formation energy from the elements, the calculation gives 0.038 eV/atom.

a = 7.8293 Å, b = 7.8293 Å, c = 10.0269 Å
α = 90.00°, β = 90.00°, γ = 142.82°
Fractional positions:
Tb 0.0000 0.0000 0.0000
Tb 0.0000 0.0000 0.5000
Er 0.1665 0.8335 0.7500
Er 0.8335 0.1665 0.2500
Tm 0.1666 0.8334 0.2500
Tm 0.3353 0.6647 0.0002
Tm 0.3353 0.6647 0.4998
Tm 0.6647 0.3353 0.9998
Tm 0.6647 0.3353 0.5002
Tm 0.8334 0.1666 0.7500
Th 0.5003 0.4997 0.2500
Th 0.4997 0.5003 0.7500



8.
Tb2ErTmTh: relaxed, PBE.

Values from the calculation:
For the formation energy from the elements, the calculation gives 0.330 eV/atom.

a = 8.4240 Å, b = 6.3110 Å, c = 6.2932 Å
α = 90.00°, β = 95.54°, γ = 90.00°
Fractional positions:
Tb 0.1891 0.2047 0.2793
Tb 0.1891 0.7953 0.7793
Tb 0.8109 0.2047 0.2207
Tb 0.8109 0.7953 0.7207
Er 0.0000 0.3133 0.7500
Er 0.0000 0.6867 0.2500
Tm 0.5000 0.5000 0.0000
Tm 0.5000 0.5000 0.5000
Th 0.5000 0.0539 0.7500
Th 0.5000 0.9461 0.2500



Which value of formation energy from the elements does entry 1 give? 0.410 eV/atom



What did the second record say?
TbErTm5Th2: relaxed, PBE.

Values from the calculation:
For the formation energy from the elements, the calculation gives 0.353 eV/atom.

a = 9.7866 Å, b = 9.7866 Å, c = 9.7866 Å
α = 127.07°, β = 127.07°, γ = 78.14°
Fractional positions:
Tb 0.2500 0.2500 0.0000
Tb 0.7500 0.7500 0.0000
Er 0.2500 0.7500 0.5000
Er 0.7500 0.2500 0.5000
Tm 0.0000 0.0000 0.0000
Tm 0.0701 0.5701 0.9198
Tm 0.1502 0.0701 0.5000
Tm 0.3498 0.8498 0.9198
Tm 0.4299 0.3498 0.5000
Tm 0.5000 0.5000 0.0000
Tm 0.5701 0.6502 0.5000
Tm 0.6502 0.1502 0.0802
Tm 0.8498 0.9299 0.5000
Tm 0.9299 0.4299 0.0802
Th 0.1192 0.3808 0.5000
Th 0.3808 0.8808 0.2616
Th 0.6192 0.1192 0.7384
Th 0.8808 0.6192 0.5000



Among the records above, which one has the highest formation energy from the elements? TbErTmTh2



The lowest formation energy from the elements belongs to which entry? Tb3Er6TmTh2